Here is MoOsO2 after structural relaxation from the Alexandria database. Energies are from PBE with a Hubbard U.

Properties
Energy above the lowest structure with this stoichiometry: 1231 meV/atom
Space-group type: Fm-3m (225)

a b c (Å): 4.042 4.042 4.042
angles (deg): 60.00 60.00 60.00
Last column: magnetic moment on the atom in μB.
Fractional positions:
Mo: 0.000 0.000 0.000  2.97
Os: 0.500 0.500 0.500  -1.42
O: 0.250 0.250 0.250  -0.14
O: 0.750 0.750 0.750  -0.14